Record 1
DFT (GGA-PBE) results for ScMn3S6 after structural relaxation.

Its uncorrected formation energy is -0.820 eV per atom.

Unit cell a=6.1927 b=6.1927 c=16.8394 alpha=90.00 beta=90.00 gamma=120.00
Last column: nearest neighbours and their distance in Å.
Space group R3 (No. 146, hexagonal axes)
Unique sites:
Sc1 0.0000 0.0000 0.0000 [3 per cell]  6 S 2.56-2.59
Mn1 0.0000 0.0000 0.1878 [3 per cell]  6 S 2.41-2.47
Mn2 0.0000 0.0000 0.5025 [3 per cell]  6 S 2.43-2.46
Mn3 0.0000 0.0000 0.6905 [3 per cell]  6 S 2.45-2.47
S1 0.0174 0.6724 0.7666 [9 per cell]  3 Mn 2.43-2.47, 1 Sc 2.59
S2 0.0402 0.3503 0.2625 [9 per cell]  3 Mn 2.41-2.47, 1 Sc 2.56

Record 2
DFT (GGA-PBE) results for ScMnS after structural relaxation.

Its uncorrected formation energy is -0.680 eV per atom.

Unit cell a=3.7151 b=3.7151 c=30.6554 alpha=90.00 beta=90.00 gamma=120.00
Last column: nearest neighbours and their distance in Å.
Space group R-3m (No. 166, hexagonal axes)
Unique sites:
Sc1 0.0000 0.0000 0.0708 [6 per cell]  3 S 2.47
Mn1 0.0000 0.0000 0.3299 [6 per cell]  3 Mn 2.16
S1 0.0000 0.0000 0.2229 [6 per cell]  3 Sc 2.47

Record 3
DFT (GGA-PBE) results for ScMn3S after structural relaxation.

Its uncorrected formation energy is -0.041 eV per atom. The energy above the most stable polymorph in this dataset comes out at 0 meV/atom.

Unit cell a=4.1648 b=4.1648 c=4.1648 alpha=90.00 beta=90.00 gamma=90.00
Last column: nearest neighbours and their distance in Å.
Space group Pm-3m (No. 221)
Unique sites:
Sc1 0.0000 0.0000 0.0000 [1 per cell]  12 Mn 2.94
Mn1 0.0000 0.5000 0.5000 [3 per cell]  2 S 2.08
S1 0.5000 0.5000 0.5000 [1 per cell]  6 Mn 2.08

Record 4
DFT (GGA-PBE) results for ScMnS3 after structural relaxation.

Its uncorrected formation energy is -1.142 eV per atom. The energy above the most stable polymorph in this dataset comes out at 8 meV/atom.

Unit cell a=6.4784 b=3.8537 c=9.3250 alpha=90.00 beta=105.84 gamma=90.00
Last column: nearest neighbours and their distance in Å.
Space group P2_1/m (No. 11)
Unique sites:
Sc1 0.2258 0.2500 0.4340 [2 per cell]  6 S 2.57-2.64
Mn1 0.3864 0.2500 0.8495 [2 per cell]  5 S 2.33-2.40
S1 0.0595 0.2500 0.6557 [2 per cell]  1 Mn 2.38, 3 Sc 2.58-2.64
S2 0.2939 0.7500 0.9612 [2 per cell]  3 Mn 2.33-2.34
S3 0.4344 0.7500 0.3446 [2 per cell]  1 Mn 2.40, 3 Sc 2.57-2.62

Record 5
DFT (GGA-PBE) results for Sc3Mn5S12 after structural relaxation.

Its uncorrected formation energy is -0.920 eV per atom.

Unit cell a=14.6051 b=14.6051 c=14.6051 alpha=90.00 beta=90.00 gamma=90.00
Last column: nearest neighbours and their distance in Å.
Space group Ia-3d (No. 230)
Unique sites:
Sc1 0.0000 0.2500 0.1250 [24 per cell]  8 S 2.75-2.80
Mn1 0.0000 0.0000 0.0000 [16 per cell]  6 S 2.40
Mn2 0.0000 0.2500 0.3750 [24 per cell]  4 S 2.26
S1 0.0228 0.0611 0.6508 [96 per cell]  2 Mn 2.26-2.40

Record 6
DFT (GGA-PBE) results for Sc6MnS8 after structural relaxation.

Its uncorrected formation energy is -1.679 eV per atom.

Unit cell a=10.3054 b=10.3054 c=10.3054 alpha=90.00 beta=90.00 gamma=90.00
Last column: nearest neighbours and their distance in Å.
Space group Fm-3m (No. 225)
Unique sites:
Sc1 0.0000 0.2500 0.2500 [24 per cell]  6 S 2.58
Mn1 0.0000 0.0000 0.0000 [4 per cell]  6 S 2.45
S1 0.0000 0.0000 0.2373 [24 per cell]  1 Mn 2.45, 4 Sc 2.58
S2 0.2500 0.2500 0.2500 [8 per cell]  6 Sc 2.58

Record 7
DFT (GGA-PBE) results for Sc3MnS after structural relaxation.

Its uncorrected formation energy is 0.078 eV per atom. The energy above the most stable polymorph in this dataset comes out at 168 meV/atom.

Unit cell a=4.7721 b=4.7721 c=4.7721 alpha=90.00 beta=90.00 gamma=90.00
Last column: nearest neighbours and their distance in Å.
Space group Pm-3m (No. 221)
Unique sites:
Sc1 0.0000 0.0000 0.5000 [3 per cell]  2 Mn 2.39
Mn1 0.0000 0.0000 0.0000 [1 per cell]  6 Sc 2.39
S1 0.5000 0.5000 0.5000 [1 per cell]  12 Sc 3.37

Record 8
DFT (GGA-PBE) results for ScMn3S after structural relaxation.

Its uncorrected formation energy is 1.439 eV per atom. The energy above the most stable polymorph in this dataset comes out at 1480 meV/atom.

Unit cell a=4.7178 b=4.7178 c=4.7178 alpha=90.00 beta=90.00 gamma=90.00
Last column: nearest neighbours and their distance in Å.
Space group Pm-3m (No. 221)
Unique sites:
Sc1 0.0000 0.0000 0.0000 [1 per cell]  6 Mn 2.36
Mn1 0.0000 0.0000 0.5000 [3 per cell]  2 Sc 2.36
S1 0.5000 0.5000 0.5000 [1 per cell]  12 Mn 3.34

Record 9
DFT (GGA-PBE) results for ScMn2S2 after structural relaxation.

Its uncorrected formation energy is -0.507 eV per atom. The energy above the most stable polymorph in this dataset comes out at 0 meV/atom.

Unit cell a=4.1888 b=4.1888 c=7.9014 alpha=90.00 beta=90.00 gamma=90.00
Last column: nearest neighbours and their distance in Å.
Space group I4/mmm (No. 139)
Unique sites:
Sc1 0.0000 0.0000 0.0000 [2 per cell]  10 Mn 2.88-3.15, 8 S 2.88
Mn1 0.0000 0.0000 0.3642 [4 per cell]  1 Mn 2.15, 4 S 2.28
S1 0.0000 0.5000 0.2500 [4 per cell]  4 Mn 2.28

Record 10
DFT (GGA-PBE) results for Sc2MnS4 after structural relaxation.

Its uncorrected formation energy is -1.549 eV per atom.

Unit cell a=10.6065 b=10.6065 c=10.6065 alpha=90.00 beta=90.00 gamma=90.00
Last column: nearest neighbours and their distance in Å.
Space group Fd-3m (No. 227, origin choice 2)
Unique sites:
Sc1 0.0000 0.0000 0.0000 [16 per cell]  6 S 2.59
Mn1 0.1250 0.1250 0.6250 [8 per cell]  4 S 2.41
S1 0.0059 0.0059 0.2441 [32 per cell]  1 Mn 2.41, 3 Sc 2.59